Co8W | the Alexandria database | PBEsol | relaxed; DOS at the Fermi energy = 11.0 states/eV per cell; ΔE_f = 0.3 eV per formula unit; SG = I4/mmm
1.0
-3.716 3.716 1.748
3.716 -3.716 1.748
3.716 3.716 -1.748
Co W
8 1
Direct
0.000 0.338 0.338
0.000 0.662 0.662
0.329 0.329 0.658
0.329 0.671 0.000
0.338 0.000 0.338
0.662 0.000 0.662
0.671 0.329 0.000
0.671 0.671 0.342
0.000 0.000 0.000